(1)
Material: BaBeRh3
Method: DFT, PBE
State: relaxed Values from VASP.

```
&SYSTEM
  ibrav = 0, nat = 5, ntyp = 3
/
ATOMIC_SPECIES
Ba 137.33 Ba.upf
Be 9.01 Be.upf
Rh 102.91 Rh.upf
CELL_PARAMETERS angstrom
4.450 0.000 0.000
0.000 4.450 0.000
0.000 0.000 4.450
ATOMIC_POSITIONS angstrom
Ba 0.000 0.000 0.000
Be 2.225 2.225 2.225
Rh 0.000 2.225 2.225
Rh 2.225 0.000 2.225
Rh 2.225 2.225 0.000
```

Properties
Magnetic moment in μB/atom: 0.00
Crystal system: cubic
Space-group type: Pm-3m, No. 221
DFT total energy in eV per atom: -5.52
ΔE_f in meV per atom: 21

(2)
Material: Ba2BeRh
Method: DFT, PBE
State: relaxed Values from VASP.

```
&SYSTEM
  ibrav = 0, nat = 4, ntyp = 3
/
ATOMIC_SPECIES
Ba 137.33 Ba.upf
Be 9.01 Be.upf
Rh 102.91 Rh.upf
CELL_PARAMETERS angstrom
3.615 -2.087 0.000
3.615 2.087 0.000
-2.436 0.000 8.706
ATOMIC_POSITIONS angstrom
Ba 0.000 0.000 0.000
Ba 0.000 0.000 4.406
Be 2.412 0.000 2.201
Rh 4.819 0.000 2.210
```

Properties
Magnetic moment in μB/atom: 0.00
Crystal system: monoclinic
Space-group type: Cm, No. 8
DFT total energy in eV per atom: -3.89
ΔE_f in meV per atom: -162

(3)
Material: Ba2BeRh
Method: DFT, PBE
State: relaxed Values from VASP.

```
&SYSTEM
  ibrav = 0, nat = 4, ntyp = 3
/
ATOMIC_SPECIES
Ba 137.33 Ba.upf
Be 9.01 Be.upf
Rh 102.91 Rh.upf
CELL_PARAMETERS angstrom
3.844 0.000 0.000
0.000 3.916 0.000
0.000 0.000 7.714
ATOMIC_POSITIONS angstrom
Ba 0.000 0.000 1.821
Ba 0.000 0.000 5.893
Be 1.922 1.958 3.857
Rh 1.922 1.958 0.000
```

Properties
Magnetic moment in μB/atom: 0.00
Crystal system: orthorhombic
Space-group type: Pmmm, No. 47
DFT total energy in eV per atom: -3.39
ΔE_f in meV per atom: 340

(4)
Material: Ba2BeRh
Method: DFT, PBE
State: relaxed Values from VASP.

```
&SYSTEM
  ibrav = 0, nat = 4, ntyp = 3
/
ATOMIC_SPECIES
Ba 137.33 Ba.upf
Be 9.01 Be.upf
Rh 102.91 Rh.upf
CELL_PARAMETERS angstrom
-2.067 2.240 7.858
2.067 -2.240 7.858
2.067 2.240 -7.858
ATOMIC_POSITIONS angstrom
Ba 0.000 0.000 0.000
Ba 0.000 2.240 4.114
Be 2.067 0.000 5.536
Rh 0.000 0.000 6.283
```

Properties
Magnetic moment in μB/atom: 0.10
Crystal system: orthorhombic
Space-group type: Imm2, No. 44
DFT total energy in eV per atom: -3.80
ΔE_f in meV per atom: -68

(5)
Material: Ba2BeRh
Method: DFT, PBE
State: relaxed Values from VASP.

```
&SYSTEM
  ibrav = 0, nat = 8, ntyp = 3
/
ATOMIC_SPECIES
Ba 137.33 Ba.upf
Be 9.01 Be.upf
Rh 102.91 Rh.upf
CELL_PARAMETERS angstrom
-4.272 4.272 3.375
4.272 -4.272 3.375
4.272 4.272 -3.375
ATOMIC_POSITIONS angstrom
Ba 2.136 1.855 -0.844
Ba 2.417 -2.136 4.219
Ba 2.136 2.417 2.531
Ba 1.855 6.408 0.844
Be 4.272 0.000 1.687
Be 0.000 0.000 3.375
Rh 0.000 0.000 0.000
Rh 0.000 4.272 1.687
```

Properties
Magnetic moment in μB/atom: 0.00
Crystal system: tetragonal
Space-group type: I-42d, No. 122
DFT total energy in eV per atom: -3.17
ΔE_f in meV per atom: 557

(6)
Material: Ba2BeRh
Method: DFT, PBE
State: relaxed Values from VASP.

```
&SYSTEM
  ibrav = 0, nat = 4, ntyp = 3
/
ATOMIC_SPECIES
Ba 137.33 Ba.upf
Be 9.01 Be.upf
Rh 102.91 Rh.upf
CELL_PARAMETERS angstrom
2.211 1.277 8.032
-2.211 1.277 8.032
0.000 -2.553 8.032
ATOMIC_POSITIONS angstrom
Ba 0.000 0.000 5.771
Ba 0.000 0.000 18.324
Be 0.000 0.000 0.000
Rh 0.000 0.000 12.047
```

Properties
Magnetic moment in μB/atom: 0.00
Crystal system: trigonal
Space-group type: R-3m, No. 166
DFT total energy in eV per atom: -3.25
ΔE_f in meV per atom: 476

(7)
Material: BaBeRh3
Method: DFT, PBE
State: relaxed Values from VASP.

```
&SYSTEM
  ibrav = 0, nat = 5, ntyp = 3
/
ATOMIC_SPECIES
Ba 137.33 Ba.upf
Be 9.01 Be.upf
Rh 102.91 Rh.upf
CELL_PARAMETERS angstrom
5.036 0.000 0.000
0.000 5.036 0.000
0.000 0.000 5.036
ATOMIC_POSITIONS angstrom
Ba 0.000 0.000 0.000
Be 2.518 2.518 2.518
Rh 0.000 0.000 2.518
Rh 0.000 2.518 0.000
Rh 2.518 0.000 0.000
```

Properties
Magnetic moment in μB/atom: 0.00
Crystal system: cubic
Space-group type: Pm-3m, No. 221
DFT total energy in eV per atom: -3.38
ΔE_f in meV per atom: 2164

(8)
Material: Ba2BeRh2
Method: DFT, PBE
State: relaxed Values from VASP.

```
&SYSTEM
  ibrav = 0, nat = 10, ntyp = 3
/
ATOMIC_SPECIES
Ba 137.33 Ba.upf
Be 9.01 Be.upf
Rh 102.91 Rh.upf
CELL_PARAMETERS angstrom
6.799 0.000 0.000
0.000 6.799 0.000
0.000 0.000 4.993
ATOMIC_POSITIONS angstrom
Ba 1.223 2.176 0.000
Ba 2.176 5.576 0.000
Ba 4.622 1.223 0.000
Ba 5.576 4.622 0.000
Be 0.000 0.000 2.497
Be 3.399 3.399 2.497
Rh 0.997 4.396 2.497
Rh 2.403 0.997 2.497
Rh 4.396 5.802 2.497
Rh 5.802 2.403 2.497
```

Properties
Magnetic moment in μB/atom: 0.00
Crystal system: tetragonal
Space-group type: P4/mbm, No. 127
DFT total energy in eV per atom: -4.35
ΔE_f in meV per atom: 109

(9)
Material: Ba2BeRh
Method: DFT, PBE
State: relaxed Values from VASP.

```
&SYSTEM
  ibrav = 0, nat = 4, ntyp = 3
/
ATOMIC_SPECIES
Ba 137.33 Ba.upf
Be 9.01 Be.upf
Rh 102.91 Rh.upf
CELL_PARAMETERS angstrom
-2.629 2.629 3.706
2.629 -2.629 3.706
2.629 2.629 -3.706
ATOMIC_POSITIONS angstrom
Ba 0.000 0.000 0.000
Ba 0.000 2.629 1.853
Be 0.000 0.000 3.706
Rh 2.629 0.000 1.853
```

Properties
Magnetic moment in μB/atom: 0.00
Crystal system: tetragonal
Space-group type: I-4m2, No. 119
DFT total energy in eV per atom: -3.26
ΔE_f in meV per atom: 473

(10)
Material: BaScBe2Rh
Method: DFT, PBE
State: relaxed Values from VASP.

```
&SYSTEM
  ibrav = 0, nat = 5, ntyp = 4
/
ATOMIC_SPECIES
Ba 137.33 Ba.upf
Sc 44.96 Sc.upf
Be 9.01 Be.upf
Rh 102.91 Rh.upf
CELL_PARAMETERS angstrom
4.684 0.000 0.000
0.000 4.684 0.000
0.000 0.000 4.835
ATOMIC_POSITIONS angstrom
Ba 0.000 0.000 0.000
Sc 2.342 2.342 0.000
Be 0.000 2.342 2.417
Be 2.342 0.000 2.417
Rh 2.342 2.342 2.417
```

Properties
Magnetic moment in μB/atom: 0.00
Crystal system: tetragonal
Space-group type: P4/mmm, No. 123
DFT total energy in eV per atom: -4.60
ΔE_f in meV per atom: 9

(11)
Material: BaBe2RhSe
Method: DFT, PBE
State: relaxed Values from VASP.

```
&SYSTEM
  ibrav = 0, nat = 5, ntyp = 4
/
ATOMIC_SPECIES
Ba 137.33 Ba.upf
Be 9.01 Be.upf
Rh 102.91 Rh.upf
Se 78.96 Se.upf
CELL_PARAMETERS angstrom
4.449 0.000 0.000
0.000 4.449 0.000
0.000 0.000 5.311
ATOMIC_POSITIONS angstrom
Ba 0.000 0.000 0.000
Be 0.000 2.224 2.655
Be 2.224 0.000 2.655
Rh 2.224 2.224 2.655
Se 2.224 2.224 0.000
```

Properties
Magnetic moment in μB/atom: 0.00
Crystal system: tetragonal
Space-group type: P4/mmm, No. 123
DFT total energy in eV per atom: -4.34
Raw formation energy in eV/atom: -0.297

(12)
Material: BaBe2SnRh
Method: DFT, PBE
State: relaxed Values from VASP.

```
&SYSTEM
  ibrav = 0, nat = 5, ntyp = 4
/
ATOMIC_SPECIES
Ba 137.33 Ba.upf
Be 9.01 Be.upf
Sn 118.71 Sn.upf
Rh 102.91 Rh.upf
CELL_PARAMETERS angstrom
4.484 0.000 0.000
0.000 4.484 0.000
0.000 0.000 6.784
ATOMIC_POSITIONS angstrom
Ba 0.000 0.000 0.000
Be 0.000 2.242 3.392
Be 2.242 0.000 3.392
Sn 0.000 0.000 3.392
Rh 2.242 2.242 0.000
```

Properties
Magnetic moment in μB/atom: 0.00
Crystal system: tetragonal
Space-group type: P4/mmm, No. 123
DFT total energy in eV per atom: -3.18
ΔE_f in meV per atom: 965